Record 1
The following is a DFT calculation (GGA-PBE) of Nb3SbTe after structural relaxation.

The uncorrected formation energy is 1.226 eV per atom. The density of states at the Fermi level comes out at 6.08 states/eV per cell. As for the energy above the most stable polymorph in this dataset: 0 meV per atom. The crystal system is cubic. The calculation puts the total energy at -31.342 eV per cell.

The structure belongs to space group Pm-3m (No. 221); the cell edges are 5.035, 5.035 and 5.035 Å and the angles 90.00°, 90.00° and 90.00°. Symmetry generates all atoms from Nb at (0.000, 0.000, 0.500), Sb at (0.500, 0.500, 0.500) and Te at (0.000, 0.000, 0.000).



Record 2
The following is a DFT calculation (GGA-PBE) of Pu3Si4Pt2 after structural relaxation.

The uncorrected formation energy is -0.729 eV per atom. The density of states at the Fermi level comes out at 48.37 states/eV per cell. As for the energy above the most stable polymorph in this dataset: 0 meV per atom. The crystal system is monoclinic. The calculation puts the total energy at -166.667 eV per cell.

The structure belongs to space group C2/m (No. 12); the cell edges are 10.845, 4.169 and 8.292 Å and the angles 90.00°, 113.31° and 90.00°. Symmetry generates all atoms from Pu at (0.000, 0.000, 0.000), Pu at (0.109, 0.500, 0.679), Si at (0.110, 0.000, 0.407), Si at (0.231, 0.500, 0.063) and Pt at (0.174, 0.500, 0.314).



Record 3
The following is a DFT calculation (GGA-PBE) of BPdIN2 after structural relaxation.

The uncorrected formation energy is 2.010 eV per atom. The density of states at the Fermi level comes out at 1.57 states/eV per cell. As for the energy above the most stable polymorph in this dataset: 481 meV per atom. The crystal system is tetragonal. The calculation puts the total energy at -20.019 eV per cell.

The structure belongs to space group P4/mmm (No. 123); the cell edges are 3.856, 3.856 and 8.549 Å and the angles 90.00°, 90.00° and 90.00°. Symmetry generates all atoms from B at (0.000, 0.000, 0.000), Pd at (0.500, 0.500, 0.500), I at (0.500, 0.500, 0.000) and N at (0.000, 0.500, 0.500).



Record 4
The following is a DFT calculation (GGA-PBE) of PmNdAl2 after structural relaxation.

The density of states at the Fermi level comes out at 7.17 states/eV per cell. The calculation puts the formation energy at -0.107 eV/atom. As for the energy above the most stable polymorph in this dataset: 253 meV per atom. The crystal system is trigonal. The calculation puts the total energy at -52.292 eV per cell.

The structure belongs to space group R-3m (No. 166, hexagonal axes); the cell edges are 3.7381, 3.7381 and 27.9282 Å and the angles 90.00°, 90.00° and 120.00°. Symmetry generates all atoms from Pm at (0.0000, 0.0000, 0.0000), Nd at (0.0000, 0.0000, 0.5000) and Al at (0.0000, 0.0000, 0.2505).



Number 1 is which compound? Nb3SbTe



density of states at the Fermi level of number 3 (BPdIN2)? 1.57 states/eV per cell